# 1
Compound: Si3BIr
Source: Alexandria via LeMat-Bulk
Functional: PBE
Structure: optimized geometry

- DFT total energy (eV/atom) = -5.146
- uncorrected formation energy (eV/f.u.) = 6.08
- ΔE to the lowest computed polymorph (meV per atom) = 610

Cell lengths 4.6108, 4.6108, 4.6108 Å; angles 90.00, 90.00, 90.00 degrees
Last column: nearest neighbours and their distance in Å.
Fractional coordinates of all 5 atoms:
Si: 0.0000 0.0000 0.5000  2 Ir 2.31
Si: 0.0000 0.5000 0.0000  2 Ir 2.31
Si: 0.5000 0.0000 0.0000  2 Ir 2.31
B: 0.5000 0.5000 0.5000  12 Si 3.26
Ir: 0.0000 0.0000 0.0000  6 Si 2.31


# 2
Compound: SiBIr3
Source: Alexandria via LeMat-Bulk
Functional: PBE
Structure: optimized geometry

- DFT total energy (eV/atom) = -7.505
- uncorrected formation energy (eV/f.u.) = 1.16
- ΔE to the lowest computed polymorph (meV per atom) = 0

Cell lengths 4.1018, 4.1018, 4.1018 Å; angles 90.00, 90.00, 90.00 degrees
Last column: nearest neighbours and their distance in Å.
Fractional coordinates of all 5 atoms:
Si: 0.0000 0.0000 0.0000  12 Ir 2.90
B: 0.5000 0.5000 0.5000  6 Ir 2.05
Ir: 0.0000 0.5000 0.5000  2 B 2.05
Ir: 0.5000 0.0000 0.5000  2 B 2.05
Ir: 0.5000 0.5000 0.0000  2 B 2.05


# 3
Compound: Si3BIr
Source: Alexandria via LeMat-Bulk
Functional: PBE
Structure: optimized geometry

- DFT total energy (eV/atom) = -5.756
- uncorrected formation energy (eV/f.u.) = 3.03
- ΔE to the lowest computed polymorph (meV per atom) = 0

Cell lengths 4.0241, 4.0241, 4.0241 Å; angles 90.00, 90.00, 90.00 degrees
Last column: nearest neighbours and their distance in Å.
Fractional coordinates of all 5 atoms:
Si: 0.0000 0.0000 0.5000  2 B 2.01
Si: 0.0000 0.5000 0.0000  2 B 2.01
Si: 0.5000 0.0000 0.0000  2 B 2.01
B: 0.0000 0.0000 0.0000  6 Si 2.01
Ir: 0.5000 0.5000 0.5000  12 Si 2.85


# 4
Compound: Sr2Si2BIr2
Source: Alexandria via LeMat-Bulk
Functional: PBE
Structure: optimized geometry

- DFT total energy (eV/atom) = -6.210
- uncorrected formation energy (eV/f.u.) = -4.86

Cell lengths 6.1644, 6.1644, 7.4317 Å; angles 125.01, 125.01, 40.22 degrees
Last column: nearest neighbours and their distance in Å.
Fractional coordinates of all 7 atoms:
Sr: 0.0630 0.0630 0.3145  2 B 2.90, 1 Si 3.22
Sr: 0.9370 0.9370 0.6855  2 B 2.90, 1 Si 3.22
Si: 0.3138 0.3138 0.2492  3 Ir 2.41
Si: 0.6862 0.6862 0.7508  3 Ir 2.41
B: 0.5000 0.5000 0.0000  2 Ir 1.96
Ir: 0.3029 0.3029 0.9152  1 B 1.96
Ir: 0.6971 0.6971 0.0848  1 B 1.96